Record 1
TbNd2Tl: optimized geometry, PBE-GGA.

Results
As for the space-group type: P4/mmm. The value obtained for the magnetic moment is 0.000 μB/f.u. Its formation energy is -0.151 eV/atom. Its crystal system is tetragonal. The distance to the lowest polymorph of the same formula is 4.4 kJ/mol of atoms.

abc: 3.6772 3.6772 9.4896
angles: 90.00 90.00 90.00
Fractional positions:
Nd  0.0000  0.0000  0.7696
Nd  0.0000  0.0000  0.2304
Tb  0.5000  0.5000  0.5000
Tl  0.5000  0.5000  0.0000

---

Record 2
DyThZnHg: optimized geometry, PBE-GGA.

Results
As for the space-group type: F-43m. The value obtained for the magnetic moment is 0.307 μB/f.u. Its formation energy is -0.249 eV/atom. Its crystal system is cubic.

abc: 5.2586 5.2586 5.2586
angles: 60.00 60.00 60.00
Fractional positions:
Zn  0.0000  0.0000  0.0000
Th  0.2500  0.2500  0.2500
Hg  0.5000  0.5000  0.5000
Dy  0.7500  0.7500  0.7500

---

Record 3
SmZn9Cd2: optimized geometry, PBE-GGA.

Results
As for the space-group type: R-3m. The value obtained for the magnetic moment is 0.000 μB/f.u. Its formation energy is -0.124 eV/atom. Its crystal system is trigonal.

abc: 5.3474 5.3474 8.9545
angles: 72.63 72.63 60.00
Fractional positions:
Zn  0.9186  0.4136  0.2542
Zn  0.3328  0.3328  0.0017
Zn  0.0814  0.5864  0.7458
Zn  0.6672  0.6672  0.9983
Zn  0.5864  0.5864  0.7458
Zn  0.4136  0.4136  0.2542
Zn  0.5000  0.5000  0.5000
Zn  0.5864  0.0814  0.7458
Zn  0.4136  0.9186  0.2542
Sm  0.0000  0.0000  0.0000
Cd  0.1382  0.1382  0.5853
Cd  0.8618  0.8618  0.4147

---

Record 4
Ta8Nb2Al: optimized geometry, PBE-GGA.

Results
As for the space-group type: P-1. The value obtained for the magnetic moment is 0.000 μB/f.u. Its formation energy is -0.041 eV/atom. Its crystal system is triclinic.

abc: 2.8631 7.3867 11.9311
angles: 60.49 80.28 104.97
Fractional positions:
Ta  0.5530  0.7268  0.8793
Ta  0.8293  0.0894  0.3329
Ta  0.3702  0.8192  0.2424
Ta  0.4460  0.2737  0.0601
Ta  0.0954  0.4526  0.7888
Ta  0.6288  0.1813  0.6970
Ta  0.1698  0.9111  0.6065
Ta  0.9037  0.5480  0.1505
Nb  0.7185  0.6365  0.5171
Nb  0.2806  0.3640  0.4223
Al  0.9993  0.0003  0.9697

---

Record 5
TeIr2Au: optimized geometry, PBE-GGA.

Results
The value obtained for the formation energy from raw total energies is 0.6072 eV/atom. As for the space-group type: Cmm2. The value obtained for the magnetic moment is 0.000 μB/f.u. Its crystal system is orthorhombic. The distance to the lowest polymorph of the same formula is 30.4 kJ/mol of atoms.

abc: 2.9232 2.9232 10.1153
angles: 90.00 90.00 120.90
Fractional positions:
Ir  0.5000  0.5000  0.2332
Ir  0.0000  0.0000  0.0167
Au  0.5000  0.5000  0.7767
Te  0.0000  0.0000  0.4735

---

Record 6
PuSc2Tl: optimized geometry, PBE-GGA.

Results
As for the space-group type: Fm-3m. The value obtained for the magnetic moment is 8.388 μB/f.u. Its formation energy is 0.007 eV/atom. Its crystal system is cubic. The distance to the lowest polymorph of the same formula is 8.2 kJ/mol of atoms.

abc: 5.1521 5.1521 5.1521
angles: 60.00 60.00 60.00
Fractional positions:
Pu  0.5000  0.5000  0.5000
Sc  0.7500  0.7500  0.7500
Sc  0.2500  0.2500  0.2500
Tl  0.0000  0.0000  0.0000

---

Record 7
YReRh2: optimized geometry, PBE-GGA.

Results
As for the space-group type: P4/mmm. The value obtained for the magnetic moment is 0.066 μB/f.u. Its formation energy is -0.030 eV/atom. Its crystal system is tetragonal. The distance to the lowest polymorph of the same formula is 13.6 kJ/mol of atoms.

abc: 3.8753 4.1799 4.1799
angles: 90.00 90.00 90.00
Fractional positions:
Rh  0.0000  0.5000  0.5000
Rh  0.0000  0.0000  0.0000
Y  0.5000  0.5000  0.0000
Re  0.5000  0.0000  0.5000

---

Record 8
LaBeSnN3: optimized geometry, PBE-GGA.

Results
The value obtained for the formation energy from raw total energies is -0.6291 eV/atom. As for the space-group type: P2_1/m. The value obtained for the magnetic moment is 0.000 μB/f.u. Its crystal system is monoclinic.

abc: 3.3029 7.0105 7.0119
angles: 104.64 90.00 90.00
Fractional positions:
N  0.2500  0.1155  0.8499
N  0.7500  0.1694  0.5235
N  0.7500  0.8845  0.1501
N  0.2500  0.8306  0.4765
N  0.7500  0.4482  0.1666
N  0.2500  0.5518  0.8334
Be  0.7500  0.9243  0.4026
Be  0.2500  0.0757  0.5974
La  0.7500  0.8053  0.7692
La  0.2500  0.1947  0.2308
Sn  0.7500  0.3350  0.8359
Sn  0.2500  0.6650  0.1641

---

Record 9
Tl2CdBi2: optimized geometry, PBE-GGA.

Results
As for the space-group type: I4/mmm. The value obtained for the magnetic moment is 0.000 μB/f.u. Its formation energy is 0.183 eV/atom. Its crystal system is tetragonal. The distance to the lowest polymorph of the same formula is 17.6 kJ/mol of atoms.

abc: 4.6119 4.6119 8.4778
angles: 74.22 74.22 90.00
Fractional positions:
Bi  0.4019  0.4019  0.1962
Bi  0.5981  0.5981  0.8038
Cd  0.0000  0.0000  0.0000
Tl  0.2500  0.7500  0.5000
Tl  0.7500  0.2500  0.5000

---

Record 10
Dy4ThSc7: optimized geometry, PBE-GGA.

Results
As for the space-group type: C2/m. The value obtained for the magnetic moment is 0.000 μB/f.u. Its formation energy is 0.293 eV/atom. Its crystal system is monoclinic.

abc: 5.6275 10.9843 6.3829
angles: 84.88 63.84 75.16
Fractional positions:
Sc  0.6307  0.5029  0.2358
Sc  0.9331  0.3227  0.8111
Sc  0.7860  0.9222  0.5058
Sc  0.0669  0.6773  0.1889
Sc  0.3693  0.4971  0.7642
Sc  0.5000  0.0000  0.0000
Sc  0.2140  0.0778  0.4942
Dy  0.6336  0.2233  0.5094
Dy  0.3664  0.7767  0.4906
Dy  0.2306  0.3329  0.2059
Dy  0.7694  0.6671  0.7941
Th  0.0000  0.0000  0.0000

---

Record 11
ZrI3F: optimized geometry, PBE-GGA.

Results
The value obtained for the formation energy from raw total energies is -0.6579 eV/atom. As for the space-group type: Pm-3m. The value obtained for the magnetic moment is 0.226 μB/f.u. Its crystal system is cubic. The distance to the lowest polymorph of the same formula is 0.0 kJ/mol of atoms.

abc: 5.6640 5.6640 5.6640
angles: 90.00 90.00 90.00
Fractional positions:
I  0.0000  0.0000  0.5000
I  0.5000  0.0000  0.0000
I  0.0000  0.5000  0.0000
Zr  0.0000  0.0000  0.0000
F  0.5000  0.5000  0.5000

---

Record 12
Zr2VSe: optimized geometry, PBE-GGA.

Results
The value obtained for the formation energy from raw total energies is 0.1910 eV/atom. As for the space-group type: I-42d. The value obtained for the magnetic moment is 2.080 μB/f.u. Its crystal system is tetragonal.

abc: 4.0712 4.0712 10.3366
angles: 78.64 78.64 90.00
Fractional positions:
Zr  0.8750  0.8835  0.7500
Zr  0.1165  0.6250  0.2500
Zr  0.6335  0.1250  0.2500
Zr  0.3750  0.3665  0.7500
Se  0.0000  0.0000  0.0000
Se  0.7500  0.2500  0.5000
V  0.2500  0.7500  0.5000
V  0.5000  0.5000  0.0000

---

no.,raw total energy (eV per atom)
1,-4.284
2,-3.649
3,-1.626
4,-10.832
5,-5.428
6,-7.334
7,-8.434
8,-6.901
9,-2.499
10,-5.553
11,-3.672
12,-7.234